## CuWNF2 (PBE with a Hubbard U)

Data for a relaxed CuWNF2 crystal.

```
5
Lattice="4.210 0.000 0.000 0.000 4.210 0.000 0.000 0.000 3.997" Properties=species:S:1:pos:R:3 pbc="T T T"
Cu 0.000 0.000 0.000
W 2.105 2.105 1.999
N 2.105 2.105 0.000
F 0.000 2.105 1.999
F 2.105 0.000 1.999
```

Results
Density of states at the Fermi level   1.39 states/eV per cell
DFT total energy   -26.645 eV for the cell shown